[1]
# CaHf3Zr | Alexandria via LeMat-Bulk | meta-GGA SCAN | single point on PBEsol structure
# - energy of formation (eV per atom) = 1.70
data_CaHf3Zr
_cell_length_a 4.899
_cell_length_b 4.899
_cell_length_c 4.899
_cell_angle_alpha 90.00
_cell_angle_beta 90.00
_cell_angle_gamma 90.00
_space_group_name_H-M_alt 'P m -3 m'
_space_group_IT_number 221
_space_group_name_Hall '-P 4 2 3'
loop_
_atom_site_label
_atom_site_type_symbol
_atom_site_fract_x
_atom_site_fract_y
_atom_site_fract_z
_atom_site_occupancy
Ca1 Ca 0.000 0.000 0.000 1
Hf1 Hf 0.000 0.000 0.500 1
Zr1 Zr 0.500 0.500 0.500 1

[2]
# ZrMnFe | Alexandria via LeMat-Bulk | meta-GGA SCAN | single point on PBEsol structure
# - energy of formation (eV per atom) = -0.17
# - offset from the most stable computed form (meV/atom) = 0.0
data_ZrMnFe
_cell_length_a 8.047
_cell_length_b 4.845
_cell_length_c 8.401
_cell_angle_alpha 90.00
_cell_angle_beta 90.00
_cell_angle_gamma 90.00
_space_group_name_H-M_alt 'A m m 2'
_space_group_IT_number 38
_space_group_name_Hall 'A 2 -2'
loop_
_atom_site_label
_atom_site_type_symbol
_atom_site_fract_x
_atom_site_fract_y
_atom_site_fract_z
_atom_site_occupancy
Zr1 Zr 0.185 0.000 0.000 1
Zr2 Zr 0.313 0.000 0.667 1
Mn1 Mn 0.000 0.000 0.499 1
Mn2 Mn 0.500 0.000 0.164 1
Mn3 Mn 0.500 0.245 0.918 1
Fe1 Fe 0.000 0.249 0.749 1
Fe2 Fe 0.252 0.000 0.334 1

[3]
# Ca2BMoRu | Alexandria via LeMat-Bulk | meta-GGA SCAN | single point on PBEsol structure
# - energy of formation (eV per atom) = 0.83
data_Ca2BMoRu
_cell_length_a 4.882
_cell_length_b 4.882
_cell_length_c 4.095
_cell_angle_alpha 90.00
_cell_angle_beta 90.00
_cell_angle_gamma 90.00
_space_group_name_H-M_alt 'P 4/m m m'
_space_group_IT_number 123
_space_group_name_Hall '-P 4 2'
loop_
_atom_site_label
_atom_site_type_symbol
_atom_site_fract_x
_atom_site_fract_y
_atom_site_fract_z
_atom_site_occupancy
Ca1 Ca 0.000 0.500 0.000 1
B1 B 0.000 0.000 0.000 1
Mo1 Mo 0.000 0.000 0.500 1
Ru1 Ru 0.500 0.500 0.500 1

[4]
# KBa2Mo | Alexandria via LeMat-Bulk | meta-GGA SCAN | single point on PBEsol structure
# - energy of formation (eV per atom) = 0.99
# - offset from the most stable computed form (meV/atom) = 78.0
data_KBa2Mo
_cell_length_a 3.740
_cell_length_b 5.253
_cell_length_c 18.651
_cell_angle_alpha 90.00
_cell_angle_beta 90.00
_cell_angle_gamma 90.00
_space_group_name_H-M_alt 'A m m 2'
_space_group_IT_number 38
_space_group_name_Hall 'A 2 -2'
loop_
_atom_site_label
_atom_site_type_symbol
_atom_site_fract_x
_atom_site_fract_y
_atom_site_fract_z
_atom_site_occupancy
K1 K 0.000 0.000 0.000 1
Ba1 Ba 0.000 0.000 0.663 1
Ba2 Ba 0.500 0.000 0.322 1
Mo1 Mo 0.500 0.000 0.174 1

VASP energy list, top to bottom, in eV/atom: -43.9733, -22.5314, -18.4656, -29.5929